VASP calculation (PBE) on crystalline TaSbCN2 at its relaxed geometry.

```
data_TaSbCN2
_cell_length_a 3.902
_cell_length_b 5.953
_cell_length_c 3.902
_cell_angle_alpha 90.00
_cell_angle_beta 90.00
_cell_angle_gamma 90.00
_space_group_name_H-M_alt 'P 1'
_space_group_IT_number 1
loop_
_space_group_symop_operation_xyz
'x,y,z'
loop_
_atom_site_label
_atom_site_type_symbol
_atom_site_fract_x
_atom_site_fract_y
_atom_site_fract_z
Ta1 Ta 0.000 0.000 0.000
C1 C 0.500 0.500 0.500
Sb1 Sb 0.000 0.500 0.000
N1 N 0.500 0.000 0.000
N2 N 0.000 0.000 0.500
```

* DOS at the Fermi energy: 1.122 states/eV per atom
* space-group type: P4/mmm, No. 123
* total moment: 0.00 μB per formula unit
* E_form (uncorrected): 1422.8 meV/atom



VASP calculation (PBE) on crystalline Sc5Cu2Pt at its relaxed geometry.

```
data_Sc5Cu2Pt
_cell_length_a 6.655
_cell_length_b 6.655
_cell_length_c 8.528
_cell_angle_alpha 112.97
_cell_angle_beta 112.97
_cell_angle_gamma 90.00
_space_group_name_H-M_alt 'P 1'
_space_group_IT_number 1
loop_
_space_group_symop_operation_xyz
'x,y,z'
loop_
_atom_site_label
_atom_site_type_symbol
_atom_site_fract_x
_atom_site_fract_y
_atom_site_fract_z
Pt1 Pt 0.750 0.750 0.500
Pt2 Pt 0.250 0.250 0.500
Sc1 Sc 0.022 0.522 0.698
Sc2 Sc 0.978 0.478 0.302
Sc3 Sc 0.522 0.677 0.698
Sc4 Sc 0.478 0.323 0.302
Sc5 Sc 0.677 0.177 0.698
Sc6 Sc 0.323 0.823 0.302
Sc7 Sc 0.500 0.500 0.000
Sc8 Sc 0.823 0.978 0.302
Sc9 Sc 0.000 0.000 0.000
Sc10 Sc 0.177 0.022 0.698
Cu1 Cu 0.374 0.874 0.000
Cu2 Cu 0.626 0.126 0.000
Cu3 Cu 0.126 0.374 0.000
Cu4 Cu 0.874 0.626 0.000
```

* DOS at the Fermi energy: 1.229 states/eV per atom
* space-group type: I4/mcm, No. 140
* calculated total energy: -6.214 eV per atom
* total moment: 0.00 μB per formula unit



VASP calculation (PBE) on crystalline PmI at its relaxed geometry.

```
data_PmI
_cell_length_a 3.871
_cell_length_b 3.871
_cell_length_c 3.871
_cell_angle_alpha 90.00
_cell_angle_beta 90.00
_cell_angle_gamma 90.00
_space_group_name_H-M_alt 'P 1'
_space_group_IT_number 1
loop_
_space_group_symop_operation_xyz
'x,y,z'
loop_
_atom_site_label
_atom_site_type_symbol
_atom_site_fract_x
_atom_site_fract_y
_atom_site_fract_z
Pm1 Pm 0.500 0.500 0.500
I1 I 0.000 0.000 0.000
```

* DOS at the Fermi energy: 0.535 states/eV per atom
* energy above the lowest structure with this stoichiometry: 125 meV per atom
* space-group type: Pm-3m, No. 221
* total moment: 0.00 μB per formula unit
* E_form (uncorrected): -772.8 meV/atom



VASP calculation (PBE) on crystalline HoZn2Cu2 at its relaxed geometry.

```
data_HoZn2Cu2
_cell_length_a 3.692
_cell_length_b 4.051
_cell_length_c 11.311
_cell_angle_alpha 90.00
_cell_angle_beta 90.00
_cell_angle_gamma 90.00
_space_group_name_H-M_alt 'P 1'
_space_group_IT_number 1
loop_
_space_group_symop_operation_xyz
'x,y,z'
loop_
_atom_site_label
_atom_site_type_symbol
_atom_site_fract_x
_atom_site_fract_y
_atom_site_fract_z
Cu1 Cu 0.750 0.750 0.011
Cu2 Cu 0.250 0.750 0.646
Cu3 Cu 0.250 0.250 0.989
Cu4 Cu 0.750 0.250 0.354
Zn1 Zn 0.250 0.750 0.863
Zn2 Zn 0.750 0.750 0.491
Zn3 Zn 0.750 0.250 0.137
Zn4 Zn 0.250 0.250 0.509
Ho1 Ho 0.250 0.750 0.251
Ho2 Ho 0.750 0.250 0.749
```

* DOS at the Fermi energy: 0.393 states/eV per atom
* energy above the lowest structure with this stoichiometry: 12 meV per atom
* space-group type: Pmmn, No. 59
* total moment: 0.00 μB per formula unit



VASP calculation (PBE) on crystalline CaMg2Ir at its relaxed geometry.

```
data_CaMg2Ir
_cell_length_a 4.266
_cell_length_b 4.266
_cell_length_c 10.332
_cell_angle_alpha 78.08
_cell_angle_beta 78.08
_cell_angle_gamma 90.00
_space_group_name_H-M_alt 'P 1'
_space_group_IT_number 1
loop_
_space_group_symop_operation_xyz
'x,y,z'
loop_
_atom_site_label
_atom_site_type_symbol
_atom_site_fract_x
_atom_site_fract_y
_atom_site_fract_z
Ca1 Ca 0.250 0.750 0.500
Ca2 Ca 0.500 0.500 0.000
Ir1 Ir 0.750 0.250 0.500
Ir2 Ir 0.000 0.000 0.000
Mg1 Mg 0.676 0.125 0.250
Mg2 Mg 0.375 0.324 0.750
Mg3 Mg 0.875 0.926 0.750
Mg4 Mg 0.074 0.625 0.250
```

* DOS at the Fermi energy: 0.580 states/eV per atom
* space-group type: I-42d, No. 122
* calculated total energy: -3.392 eV per atom
* total moment: 0.00 μB per formula unit



VASP calculation (PBE) on crystalline Si2Ni8As at its relaxed geometry.

```
data_Si2Ni8As
_cell_length_a 3.672
_cell_length_b 6.407
_cell_length_c 6.507
_cell_angle_alpha 119.49
_cell_angle_beta 106.39
_cell_angle_gamma 90.00
_space_group_name_H-M_alt 'P 1'
_space_group_IT_number 1
loop_
_space_group_symop_operation_xyz
'x,y,z'
loop_
_atom_site_label
_atom_site_type_symbol
_atom_site_fract_x
_atom_site_fract_y
_atom_site_fract_z
Si1 Si 0.187 0.687 0.373
Si2 Si 0.813 0.313 0.627
Ni1 Ni 0.000 0.309 0.000
Ni2 Ni 0.147 0.147 0.295
Ni3 Ni 0.663 0.440 0.326
Ni4 Ni 0.000 0.691 0.000
Ni5 Ni 0.337 0.114 0.674
Ni6 Ni 0.337 0.560 0.674
Ni7 Ni 0.663 0.886 0.326
Ni8 Ni 0.853 0.853 0.705
As1 As 0.500 0.000 0.000
```

* DOS at the Fermi energy: 0.536 states/eV per atom
* energy above the lowest structure with this stoichiometry: 14 meV per atom
* space-group type: Immm, No. 71
* total moment: 0.00 μB per formula unit
* E_form (uncorrected): -353.1 meV/atom